Computed, not measured: an optimized crystal structure of Ac5La2PrSm at the PBE-GGA level of DFT.

Results
- final energy (eV per cell) = -150.620
- formation energy from the elements (eV/atom) = 0.249

Lattice parameters (Å, degrees): 8.5222 8.5222 20.8204 90.00 90.00 90.00
Space group I4/mcm (No. 140)
Inequivalent atoms, fractional coordinates:
Ac 0.0000 0.0000 0.0000 x4
Ac 0.2254 0.2746 0.1376 x16
La 0.1210 0.3790 0.5000 x8
Pr 0.0000 0.0000 0.2500 x4
Sm 0.0000 0.5000 0.2500 x4

Computed, not measured: an optimized crystal structure of Ac5LaPrSm2 at the PBE-GGA level of DFT.

Results
- final energy (eV per cell) = -153.481
- formation energy from the elements (eV/atom) = 0.146

Lattice parameters (Å, degrees): 6.0505 21.8964 11.2789 90.00 90.00 90.00
Space group Cmc2_1 (No. 36)
Inequivalent atoms, fractional coordinates:
Ac 0.0000 0.0113 0.0000 x4
Ac 0.0000 0.2758 0.3068 x4
Ac 0.0000 0.2992 0.6888 x4
Ac 0.0000 0.3768 0.0068 x4
Ac 0.0000 0.4842 0.7291 x4
La 0.0000 0.4088 0.4411 x4
Pr 0.0000 0.1914 0.0001 x4
Sm 0.0000 0.1133 0.2910 x4
Sm 0.0000 0.1159 0.7272 x4

Q: Which of these has the highest formation energy from the elements?
A: Ac5La2PrSm

Q: Look up the formation energy from the elements of the second one.
A: 0.146 eV/atom